{"formula": "Y4Lu2Zn3N3", "functional": "PBE-GGA", "state": "optimized geometry", "final_energy_ev_per_atom": -6.212, "lattice": [[5.206, -3.007, 0.000], [5.206, 3.007, 0.000], [-3.445, 0.000, 14.595]], "species": ["Y", "Y", "Y", "Y", "Y", "Y", "Y", "Y", "Lu", "Lu", "Lu", "Lu", "Zn", "Zn", "Zn", "Zn", "Zn", "Zn", "N", "N", "N", "N", "N", "N"], "frac_coords": [[0.039, 0.193, 0.099], [0.128, 0.300, 0.401], [0.193, 0.039, 0.599], [0.300, 0.128, 0.901], [0.700, 0.872, 0.099], [0.807, 0.961, 0.401], [0.872, 0.700, 0.599], [0.961, 0.807, 0.901], [0.353, 0.526, 0.079], [0.474, 0.647, 0.421], [0.526, 0.353, 0.579], [0.647, 0.474, 0.921], [0.152, 0.848, 0.250], [0.316, 0.418, 0.751], [0.418, 0.316, 0.251], [0.582, 0.684, 0.749], [0.684, 0.582, 0.249], [0.848, 0.152, 0.750], [0.000, 0.500, 0.000], [0.169, 0.666, 0.500], [0.334, 0.831, 0.000], [0.500, 0.000, 0.500], [0.666, 0.169, 0.000], [0.831, 0.334, 0.500]]}